# ScTaCoPt2 | Alexandria via LeMat-Bulk | PBE-GGA | relaxed
# formation energy	1.4442	eV/atom
# DOS at the Fermi energy	5.08	states/eV/f.u.
# VASP energy	-30.15	eV per cell
data_ScTaCoPt2
_cell_length_a 4.678
_cell_length_b 4.678
_cell_length_c 4.844
_cell_angle_alpha 90.00
_cell_angle_beta 90.00
_cell_angle_gamma 90.00
_symmetry_space_group_name_H-M 'P 4/m m m'
_symmetry_Int_Tables_number 123
_symmetry_space_group_name_Hall '-P 4 2'
loop_
_atom_site_label
_atom_site_type_symbol
_atom_site_fract_x
_atom_site_fract_y
_atom_site_fract_z
Sc1 Sc 0.000 0.000 0.000
Ta1 Ta 0.000 0.000 0.500
Co1 Co 0.500 0.500 0.500
Pt1 Pt 0.000 0.500 0.000